A plane-wave DFT calculation with PBE-GGA was carried out for a geometry-optimized Tl2Cu2Au structure.

Results
**DOS(E_F)**: 3.62 states/eV/cell
**Total DFT energy (no corrections)**: -3.033 eV/atom
**Total magnetic moment**: 0.00 μB per formula unit
**Calculated formation energy**: 100 kJ/mol of formula units
**Relative energy among the computed polymorphs**: 0.19 eV per formula unit

a b c (Å): 3.4834 3.4834 16.9889
angles (deg): 90.00 90.00 90.00
Space group I4/mmm (No. 139)
Symmetry-distinct sites (fractional):
Tl  0.0000  0.0000  0.1094 x4
Cu  0.0000  0.5000  0.2500 x4
Au  0.0000  0.0000  0.5000 x2